Computed, not measured: crystalline GdSnF2 at its relaxed geometry at the GGA-PBE level of DFT.

Geometry as POSCAR:
```
GdSnF2
1.0
3.478 0.000 0.000
1.739 3.012 0.000
1.739 1.004 8.722
F Gd Sn
2 1 1
Cartesian
5.217 3.012 2.154
1.739 1.004 6.568
0.000 0.000 0.000
3.478 2.008 4.361
```

Computed properties:
DFT total energy (eV per atom): -7.31
Crystal system: trigonal
Space group: R-3m, No. 166



Computed, not measured: crystalline VCo2Rh at its relaxed geometry at the GGA-PBE level of DFT.

Geometry as POSCAR:
```
VCo2Rh
1.0
3.518 0.000 0.000
0.000 3.518 0.000
1.759 1.759 8.611
Co Rh V
4 2 2
Cartesian
2.638 2.663 6.459
2.614 0.879 2.153
4.397 4.372 6.459
0.904 2.638 2.153
3.518 1.759 4.306
0.000 0.000 0.000
1.759 3.518 4.306
1.759 1.759 0.000
```

Computed properties:
Energy above the most stable polymorph in this dataset (meV per atom): 528.5
Crystal system: tetragonal
Space group: I-42d, No. 122



Computed, not measured: crystalline MoIr2Br at its relaxed geometry at the GGA-PBE level of DFT.

Geometry as POSCAR:
```
MoIr2Br
1.0
-1.729 2.118 -0.745
-2.850 -1.874 1.283
0.889 2.920 6.238
Ir Br Mo
2 1 1
Cartesian
-2.059 0.878 1.885
0.058 0.190 0.407
-1.647 2.231 4.774
0.403 1.325 2.831
```

Computed properties:
Energy above the most stable polymorph in this dataset (meV per atom): 233.4
Crystal system: orthorhombic
Space group: Pmm2, No. 25



Computed, not measured: crystalline CaZrTa at its relaxed geometry at the GGA-PBE level of DFT.

Geometry as POSCAR:
```
CaZrTa
1.0
-0.479 1.837 -4.988
-3.127 -3.981 1.690
-1.895 1.856 0.865
Zr Ta Ca
1 1 1
Cartesian
-3.823 -0.496 0.185
-1.994 0.517 -2.473
-1.579 1.547 0.721
```

Computed properties:
Energy above the most stable polymorph in this dataset (meV per atom): 117.4
Crystal system: hexagonal
Space group: P-6m2, No. 187



Computed, not measured: crystalline WSIN2 at its relaxed geometry at the GGA-PBE level of DFT.

Geometry as POSCAR:
```
WSIN2
1.0
-0.949 -0.502 -3.695
-0.393 -3.778 0.615
-6.600 0.941 1.568
W N I S
1 2 1 1
Cartesian
-3.971 -1.670 -0.756
-0.475 -0.251 -1.848
-0.196 -1.889 0.307
0.000 0.000 0.000
-3.300 0.470 0.784
```

Computed properties:
Energy above the most stable polymorph in this dataset (meV per atom): 1808.7
Crystal system: tetragonal
Space group: P4/mmm, No. 123



Computed, not measured: crystalline PuZr2PaP4 at its relaxed geometry at the GGA-PBE level of DFT.

Geometry as POSCAR:
```
PuZr2PaP4
1.0
3.864 0.000 0.000
0.000 6.661 -0.123
0.000 2.352 6.258
P Pa Pu Zr
4 1 1 2
Cartesian
3.864 2.176 1.561
0.000 6.837 4.574
1.932 3.362 4.690
1.932 5.651 1.445
1.932 3.330 -0.062
0.000 4.506 3.067
1.932 1.176 3.129
0.000 2.352 6.258
```

Computed properties:
DFT total energy (eV per atom): -9.17
Crystal system: monoclinic
Space group: P2/m, No. 10



Computed, not measured: crystalline Ce2MgAl3Pt4 at its relaxed geometry at the GGA-PBE level of DFT.

Geometry as POSCAR:
```
Ce2MgAl3Pt4
1.0
-0.065 -1.065 -4.104
4.198 0.555 -0.211
1.505 -10.365 2.665
Pt Mg Al Ce
4 1 3 2
Cartesian
0.000 0.000 0.000
0.939 -7.220 -0.333
2.067 -0.255 -2.157
2.633 -3.400 0.840
2.819 -5.437 -0.825
1.285 -9.607 0.281
2.286 -1.012 0.226
0.753 -5.183 1.332
0.339 -3.091 -1.394
3.233 -7.528 1.902
```

Computed properties:
DFT total energy (eV per atom): -5.88
Crystal system: tetragonal
Space group: P-4m2, No. 115



Computed, not measured: crystalline SbOs2Au at its relaxed geometry at the GGA-PBE level of DFT.

Geometry as POSCAR:
```
SbOs2Au
1.0
4.005 0.000 0.000
0.000 4.005 0.000
2.002 2.002 9.764
Sb Os Au
2 4 2
Cartesian
2.002 4.005 4.882
2.002 2.002 0.000
3.003 2.676 7.323
3.331 1.001 2.441
0.673 3.003 2.441
5.006 5.334 7.323
4.005 2.002 4.882
0.000 0.000 0.000
```

Computed properties:
DFT total energy (eV per atom): -6.62
Crystal system: tetragonal
Space group: I-42d, No. 122



Computed, not measured: crystalline BeIn2Hg at its relaxed geometry at the GGA-PBE level of DFT.

Geometry as POSCAR:
```
BeIn2Hg
1.0
5.235 -0.098 0.000
-1.630 4.975 0.000
0.000 0.000 3.388
In Be Hg
2 1 1
Cartesian
1.802 2.439 0.000
0.000 0.000 0.000
2.617 -0.049 1.694
-0.815 2.488 1.694
```

Computed properties:
Energy above the most stable polymorph in this dataset (meV per atom): 182.5
Crystal system: orthorhombic
Space group: Cmmm, No. 65



Computed, not measured: crystalline Cs2KCdI5 at its relaxed geometry at the GGA-PBE level of DFT.

Geometry as POSCAR:
```
Cs2KCdI5
1.0
-0.584 2.866 -3.911
-4.437 -10.326 -3.853
-14.935 4.387 5.444
I Cd Cs K
10 2 4 2
Cartesian
-13.012 -2.267 0.282
-9.289 1.086 -0.866
-16.231 -5.495 -1.602
-0.521 -0.628 -0.383
-3.509 -6.262 -4.064
-4.344 2.603 -0.493
-4.964 -1.388 -3.324
-8.691 -4.087 -1.696
-15.072 2.132 0.764
-12.291 -4.543 -4.542
-10.406 -6.016 -2.854
-14.548 4.411 2.355
-6.583 -4.338 -5.244
-11.479 0.709 2.233
-6.201 -0.890 0.274
-16.195 -1.466 -1.705
-2.478 -3.506 -2.198
-11.072 -1.449 -2.457
```

Computed properties:
DFT total energy (eV per atom): -2.49
Crystal system: orthorhombic
Space group: Cmc2_1, No. 36



Computed, not measured: crystalline TcRu2Cl at its relaxed geometry at the GGA-PBE level of DFT.

Geometry as POSCAR:
```
TcRu2Cl
1.0
-4.077 -0.495 4.067
4.087 -0.102 4.086
-0.226 4.473 4.426
Tc Ru Cl
2 4 2
Cartesian
-2.149 1.840 6.284
0.000 0.000 0.000
-2.105 0.795 4.170
2.000 0.994 4.157
-0.177 3.131 6.365
-0.149 2.832 10.464
0.005 -0.298 4.076
1.933 2.036 6.294
```

Computed properties:
Energy above the most stable polymorph in this dataset (meV per atom): 604.6
Crystal system: tetragonal
Space group: I-42d, No. 122



Computed, not measured: crystalline Ac3SnHg3 at its relaxed geometry at the GGA-PBE level of DFT.

Geometry as POSCAR:
```
Ac3SnHg3
1.0
5.183 0.000 0.000
0.000 10.191 0.000
0.000 -5.096 8.826
Ac Hg Sn
6 6 2
Cartesian
3.887 3.904 0.887
1.296 -2.375 5.888
1.296 1.184 3.825
3.887 3.912 5.001
1.296 1.191 7.938
3.887 7.471 2.938
1.296 8.971 1.538
1.296 4.374 7.000
3.887 0.722 1.826
1.296 1.942 0.288
3.887 3.153 8.538
3.887 -3.875 7.288
1.296 5.096 2.942
3.887 0.000 5.884
```

Computed properties:
Energy above the most stable polymorph in this dataset (meV per atom): 0.0
Crystal system: hexagonal
Space group: P6_3/m, No. 176



no.,magnetization (μB/f.u.)
1,7.2
2,1.6
3,0.0
4,0.0
5,3.8
6,5.1
7,1.6
8,0.0
9,0.0
10,0.0
11,0.0
12,0.0